Entry 1:
This record from Alexandria describes TbPr3Hg after structural relaxation. The functional is PBE.

Cell: 10.0920 10.0920 8.8511 Å, 103.09 103.09 21.59°
With the nearest neighbours (Å) after each atom.
Positions (direct):
Tb1 0.2046 0.2046 0.3318  2 Hg 3.16
Tb2 0.7954 0.7954 0.6682  2 Hg 3.16
Pr1 0.0043 0.0043 0.7908  4 Hg 3.28-3.50, 3 Pr 3.52-3.63
Pr2 0.1865 0.1865 0.8778  2 Hg 3.29, 5 Pr 3.48-3.67, 2 Tb 3.68
Pr3 0.4035 0.4035 0.4658  3 Tb 3.63-3.85, 9 Pr 3.63-3.78, 1 Hg 4.00
Pr4 0.5965 0.5965 0.5342  3 Tb 3.63-3.85, 9 Pr 3.63-3.78, 1 Hg 4.00
Pr5 0.8135 0.8135 0.1222  2 Hg 3.29, 5 Pr 3.48-3.67, 2 Tb 3.68
Pr6 0.9957 0.9957 0.2092  4 Hg 3.28-3.50, 3 Pr 3.52-3.63
Hg1 0.3920 0.3920 0.9116  2 Tb 3.16, 6 Pr 3.28-3.50
Hg2 0.6080 0.6080 0.0884  2 Tb 3.16, 6 Pr 3.28-3.50

ΔE to the lowest computed polymorph	0	meV per atom
total magnetization	0.0	Bohr magnetons per cell
ΔH_f (0 K)	-0.174	eV per atom
space group	C2/m

***

Entry 2:
This record from Alexandria describes Tb4PrHg after structural relaxation. The functional is PBE.

Cell: 8.2925 8.2925 6.3966 Å, 100.12 100.12 115.58°
With the nearest neighbours (Å) after each atom.
Positions (direct):
Tb1 0.0878 0.7136 0.9521  2 Hg 3.18, 3 Tb 3.33-3.42, 1 Pr 3.54
Tb2 0.1649 0.3964 0.6290  2 Hg 3.26-3.28, 2 Tb 3.33-3.41, 2 Pr 3.50-3.58
Tb3 0.2864 0.9122 0.5479  2 Hg 3.18, 3 Tb 3.33-3.42, 1 Pr 3.54
Tb4 0.3964 0.1649 0.1290  2 Hg 3.26-3.28, 2 Tb 3.33-3.41, 2 Pr 3.50-3.58
Tb5 0.6036 0.8351 0.8710  2 Hg 3.26-3.28, 2 Tb 3.33-3.41, 2 Pr 3.50-3.58
Tb6 0.7136 0.0878 0.4521  2 Hg 3.18, 3 Tb 3.33-3.42, 1 Pr 3.54
Tb7 0.8351 0.6036 0.3710  2 Hg 3.26-3.28, 2 Tb 3.33-3.41, 2 Pr 3.50-3.58
Tb8 0.9122 0.2864 0.0479  2 Hg 3.18, 3 Tb 3.33-3.42, 1 Pr 3.54
Pr1 0.4032 0.5968 0.2500  10 Tb 3.50-3.81
Pr2 0.5968 0.4032 0.7500  10 Tb 3.50-3.81
Hg1 0.0007 0.9993 0.2500  8 Tb 3.18-3.28, 2 Hg 3.20
Hg2 0.9993 0.0007 0.7500  8 Tb 3.18-3.28, 2 Hg 3.20

ΔE to the lowest computed polymorph	88	meV per atom
total magnetization	0.0	Bohr magnetons per cell
ΔH_f (0 K)	-0.055	eV per atom
space group	C2/c

***

Entry 3:
This record from Alexandria describes TbPr3Hg12 after structural relaxation. The functional is PBE.

Cell: 4.6822 4.6822 18.9963 Å, 90.00 90.00 90.00°
With the nearest neighbours (Å) after each atom.
Positions (direct):
Tb1 0.0000 0.0000 0.0000  12 Hg 3.27-3.31
Pr1 0.0000 0.0000 0.2462  12 Hg 3.31-3.36
Pr2 0.0000 0.0000 0.5000  12 Hg 3.31-3.36
Pr3 0.0000 0.0000 0.7538  12 Hg 3.31-3.36
Hg1 0.0000 0.5000 0.1204  8 Hg 3.27-3.35, 2 Tb 3.27, 2 Pr 3.35
Hg2 0.0000 0.5000 0.3734  8 Hg 3.31-3.36, 4 Pr 3.36
Hg3 0.0000 0.5000 0.6266  8 Hg 3.31-3.36, 4 Pr 3.36
Hg4 0.0000 0.5000 0.8796  8 Hg 3.27-3.35, 2 Tb 3.27, 2 Pr 3.35
Hg5 0.5000 0.0000 0.1204  8 Hg 3.27-3.35, 2 Tb 3.27, 2 Pr 3.35
Hg6 0.5000 0.0000 0.3734  8 Hg 3.31-3.36, 4 Pr 3.36
Hg7 0.5000 0.0000 0.6266  8 Hg 3.31-3.36, 4 Pr 3.36
Hg8 0.5000 0.0000 0.8796  8 Hg 3.27-3.35, 2 Tb 3.27, 2 Pr 3.35
Hg9 0.5000 0.5000 0.0000  8 Hg 3.27, 4 Tb 3.31
Hg10 0.5000 0.5000 0.2465  4 Pr 3.31, 8 Hg 3.35-3.36
Hg11 0.5000 0.5000 0.5000  4 Pr 3.31, 8 Hg 3.36
Hg12 0.5000 0.5000 0.7535  4 Pr 3.31, 8 Hg 3.35-3.36

total magnetization	0.0	Bohr magnetons per cell
ΔH_f (0 K)	-0.344	eV per atom
space group	P4/mmm

***

Entry 4:
This record from Alexandria describes TbPrHg2 after structural relaxation. The functional is PBE.

Cell: 3.7718 3.7718 7.7219 Å, 90.00 90.00 90.00°
With the nearest neighbours (Å) after each atom.
Positions (direct):
Tb1 0.0000 0.0000 0.0000  8 Hg 3.21
Pr1 0.0000 0.0000 0.5000  8 Hg 3.38, 4 Pr 3.77
Hg1 0.5000 0.5000 0.2308  4 Tb 3.21, 4 Pr 3.38, 1 Hg 3.56
Hg2 0.5000 0.5000 0.7692  4 Tb 3.21, 4 Pr 3.38, 1 Hg 3.56

ΔE to the lowest computed polymorph	0	meV per atom
total magnetization	0.7	Bohr magnetons per cell
ΔH_f (0 K)	-0.477	eV per atom
space group	P4/mmm

***

Entry 5:
This record from Alexandria describes Tb2PrHg after structural relaxation. The functional is PBE.

Cell: 3.6649 3.6649 8.9713 Å, 90.00 90.00 90.00°
With the nearest neighbours (Å) after each atom.
Positions (direct):
Tb1 0.0000 0.0000 0.2158  4 Hg 3.23
Tb2 0.0000 0.0000 0.7842  4 Hg 3.23
Pr1 0.5000 0.5000 0.5000  8 Tb 3.64, 4 Pr 3.66
Hg1 0.5000 0.5000 0.0000  8 Tb 3.23

ΔE to the lowest computed polymorph	0	meV per atom
total magnetization	0.0	Bohr magnetons per cell
ΔH_f (0 K)	-0.234	eV per atom
space group	P4/mmm

***

Entry 6:
This record from Alexandria describes Tb2PrHg3 after structural relaxation. The functional is PBE.

Cell: 8.4174 8.4174 7.6435 Å, 90.00 90.00 143.22°
With the nearest neighbours (Å) after each atom.
Positions (direct):
Tb1 0.0000 0.0000 0.0000  8 Hg 3.17-3.22
Tb2 0.0000 0.0000 0.5000  8 Hg 3.29-3.33
Tb3 0.3311 0.6689 0.0000  8 Hg 3.21-3.25
Tb4 0.6689 0.3311 0.0000  8 Hg 3.21-3.25
Pr1 0.3339 0.6661 0.5000  8 Hg 3.33-3.40
Pr2 0.6661 0.3339 0.5000  8 Hg 3.33-3.40
Hg1 0.1628 0.8372 0.2364  5 Tb 3.17-3.29, 3 Pr 3.33-3.40
Hg2 0.1628 0.8372 0.7636  5 Tb 3.17-3.29, 3 Pr 3.33-3.40
Hg3 0.5000 0.5000 0.2377  6 Tb 3.22-3.33, 2 Pr 3.33
Hg4 0.5000 0.5000 0.7623  6 Tb 3.22-3.33, 2 Pr 3.33
Hg5 0.8372 0.1628 0.2364  5 Tb 3.17-3.29, 3 Pr 3.33-3.40
Hg6 0.8372 0.1628 0.7636  5 Tb 3.17-3.29, 3 Pr 3.33-3.40

ΔE to the lowest computed polymorph	3	meV per atom
total magnetization	1.8	Bohr magnetons per cell
ΔH_f (0 K)	-0.474	eV per atom
space group	Cmmm

***

Question: What is the formula in the fifth record?
Answer: Tb2PrHg